Entry 1:
DFT (PBE-GGA) results for a relaxed InBi2S5 crystal.

Calculated values
**ΔE_f (raw)**: -0.2174 eV/atom
**N(E_F)**: 0.3658 states/eV/atom
**M_tot**: 0.000 μB per formula unit

Cell lengths 5.506, 13.324, 12.610 Å; angles 90.00, 90.00, 90.00 degrees
Space group Cmcm (No. 63)
Inequivalent atoms, fractional coordinates:
1 In 0.000 0.218 0.250 [4 per cell]
2 Bi 0.000 0.141 0.555 [8 per cell]
3 S 0.000 0.051 0.137 [8 per cell]
4 S 0.000 0.243 0.750 [4 per cell]
5 S 0.000 0.319 0.076 [8 per cell]

=====

Entry 2:
DFT (PBE-GGA) results for a relaxed BC2 crystal.

Calculated values
**Energy of formation**: 448 meV per atom
**N(E_F)**: 0.1939 states/eV/atom
**M_tot**: 0.000 μB per formula unit
**ΔE to the lowest computed polymorph**: 207.9 meV per atom

Cell lengths 2.6204, 2.6204, 13.0189 Å; angles 90.00, 90.00, 120.00 degrees
Space group P-3m1 (No. 164)
Inequivalent atoms, fractional coordinates:
1 B 0.3333 0.6667 0.0981 [2 per cell]
2 B 0.3333 0.6667 0.2388 [2 per cell]
3 C 0.0000 0.0000 0.0604 [2 per cell]
4 C 0.0000 0.0000 0.4408 [2 per cell]
5 C 0.3333 0.6667 0.6000 [2 per cell]
6 C 0.3333 0.6667 0.7172 [2 per cell]

=====

Entry 3:
DFT (PBE-GGA) results for a relaxed DyPaPt4 crystal.

Calculated values
**Energy of formation**: -979 meV per atom
**N(E_F)**: 0.4825 states/eV/atom
**M_tot**: 0.000 μB per formula unit

Cell lengths 7.689, 7.689, 7.689 Å; angles 90.00, 90.00, 90.00 degrees
Space group F-43m (No. 216)
Inequivalent atoms, fractional coordinates:
1 Dy 0.000 0.000 0.000 [4 per cell]
2 Pa 0.250 0.250 0.750 [4 per cell]
3 Pt 0.125 0.125 0.375 [16 per cell]

=====

Entry 4:
DFT (PBE-GGA) results for a relaxed HoEr2Tc crystal.

Calculated values
**Energy of formation**: -126 meV per atom
**N(E_F)**: 0.8812 states/eV/atom
**M_tot**: 0.000 μB per formula unit
**ΔE to the lowest computed polymorph**: 3.8 meV per atom

Cell lengths 3.865, 11.833, 9.087 Å; angles 90.00, 90.00, 90.00 degrees
Space group Cmcm (No. 63)
Inequivalent atoms, fractional coordinates:
1 Ho 0.000 0.071 0.250 [4 per cell]
2 Er 0.000 0.356 0.066 [8 per cell]
3 Tc 0.000 0.261 0.750 [4 per cell]

=====

Entry 5:
DFT (PBE-GGA) results for a relaxed GaS3Cl crystal.

Calculated values
**ΔE_f (raw)**: -0.4084 eV/atom
**N(E_F)**: 0.0000 states/eV/atom
**M_tot**: 0.000 μB per formula unit
**ΔE to the lowest computed polymorph**: 0.0 meV per atom

Cell lengths 3.824, 5.780, 7.261 Å; angles 75.05, 88.22, 75.42 degrees
Space group P1 (No. 1)
Inequivalent atoms, fractional coordinates:
1 Ga 0.000 0.000 0.000 [1 per cell]
2 S 0.589 0.729 0.009 [1 per cell]
3 S 0.637 0.306 0.771 [1 per cell]
4 S 0.743 0.639 0.750 [1 per cell]
5 Cl 0.044 0.064 0.279 [1 per cell]

=====

Entry 6:
DFT (PBE-GGA) results for a relaxed YCu2Sb crystal.

Calculated values
**ΔE_f (raw)**: -0.1161 eV/atom
**N(E_F)**: 0.5224 states/eV/atom
**M_tot**: 0.000 μB per formula unit

Cell lengths 4.410, 4.410, 18.355 Å; angles 90.00, 90.00, 90.00 degrees
Space group I-42d (No. 122)
Inequivalent atoms, fractional coordinates:
1 Y 0.000 0.000 0.000 [4 per cell]
2 Cu 0.134 0.250 0.625 [8 per cell]
3 Sb 0.000 0.000 0.500 [4 per cell]

=====

Entry 7:
DFT (PBE-GGA) results for a relaxed PmPuGa crystal.

Calculated values
**Energy of formation**: 50 meV per atom
**N(E_F)**: 3.4226 states/eV/atom
**M_tot**: 6.145 μB per formula unit
**ΔE to the lowest computed polymorph**: 253.9 meV per atom

Cell lengths 5.1967, 5.1967, 6.3778 Å; angles 90.00, 90.00, 120.00 degrees
Space group P6_3/mmc (No. 194)
Inequivalent atoms, fractional coordinates:
1 Pm 0.3333 0.6667 0.2500 [2 per cell]
2 Pu 0.3333 0.6667 0.7500 [2 per cell]
3 Ga 0.0000 0.0000 0.0000 [2 per cell]

=====

Entry 8:
DFT (PBE-GGA) results for a relaxed ZnAgAs2 crystal.

Calculated values
**Energy of formation**: 208 meV per atom
**N(E_F)**: 0.3686 states/eV/atom
**M_tot**: 0.000 μB per formula unit

Cell lengths 2.812, 5.042, 5.569 Å; angles 90.00, 104.52, 90.00 degrees
Space group P2/m (No. 10)
Inequivalent atoms, fractional coordinates:
1 Zn 0.000 0.000 0.000 [1 per cell]
2 Ag 0.000 0.000 0.500 [1 per cell]
3 As 0.112 0.500 0.741 [2 per cell]